(1)
Below is a crystal of Na2AsI relaxed with PBEsol, with properties calculated at the meta-GGA SCAN level.

```
8
Lattice="-4.133 4.133 3.162 4.133 -4.133 3.162 4.133 4.133 -3.162" Properties=species:S:1:pos:R:3 pbc="T T T"
Na 6.199 1.888 -0.791
Na 1.888 2.066 0.791
Na -2.066 2.245 2.372
Na 2.245 2.066 3.953
As 0.000 0.000 0.000
As 0.000 4.133 1.581
I 4.133 0.000 1.581
I 0.000 0.000 3.162
```

Its total energy is -1.2326 Ry per atom. As for the raw formation energy: -166 kJ/mol of formula units.

(2)
Below is a crystal of CuBiP2Cl relaxed with PBEsol, with properties calculated at the meta-GGA SCAN level.

```
5
Lattice="5.218 0.000 0.000 0.000 5.218 0.000 0.000 0.000 5.213" Properties=species:S:1:pos:R:3 pbc="T T T"
Cu 0.000 0.000 0.000
Bi 2.609 2.609 2.607
P 0.000 2.609 2.607
P 2.609 0.000 2.607
Cl 2.609 2.609 0.000
```

Its total energy is -1.7091 Ry per atom. As for the raw formation energy: 607 kJ/mol of formula units.

(3)
Below is a crystal of MgMoRh2 relaxed with PBEsol, with properties calculated at the meta-GGA SCAN level.

```
4
Lattice="2.804 0.000 0.000 0.000 3.590 0.000 0.000 0.000 5.820" Properties=species:S:1:pos:R:3 pbc="T T T"
Mg 0.000 0.000 0.000
Mo 0.000 0.000 2.910
Rh 1.402 1.795 1.514
Rh 1.402 1.795 4.306
```

Its total energy is -1.9945 Ry per atom. The value obtained for the energy of formation from the pure elements is -0.29 eV per atom.